Entry 1:
# MgHPd3, relaxed, DFT GGA-PBE
data_MgHPd3
_chemical_formula_sum 'Mg4 H4 Pd12'
_symmetry_space_group_name_H-M 'P 1'
_symmetry_Int_Tables_number 1
_cell_length_a 21.4470
_cell_length_b 5.0388
_cell_length_c 7.1909
_cell_angle_alpha 90.00
_cell_angle_beta 160.14
_cell_angle_gamma 90.00
loop_
_symmetry_equiv_pos_as_xyz
'x,y,z'
loop_
_atom_site_label
_atom_site_type_symbol
_atom_site_fract_x
_atom_site_fract_y
_atom_site_fract_z
H1 H 0.5883 0.7763 0.8316
H2 H 0.4117 0.2237 0.1684
H3 H 0.9117 0.2763 0.6684
H4 H 0.0883 0.7237 0.3316
Mg1 Mg 0.1923 0.0973 0.9970
Mg2 Mg 0.8077 0.9027 0.0030
Mg3 Mg 0.3077 0.5973 0.5030
Mg4 Mg 0.6923 0.4027 0.4970
Pd1 Pd 0.3147 0.9109 0.0042
Pd2 Pd 0.6853 0.0891 0.9958
Pd3 Pd 0.1853 0.4109 0.4958
Pd4 Pd 0.8147 0.5891 0.5042
Pd5 Pd 0.4330 0.4171 0.5001
Pd6 Pd 0.5670 0.5829 0.4999
Pd7 Pd 0.0670 0.9171 0.9999
Pd8 Pd 0.9330 0.0829 0.0001
Pd9 Pd 0.5628 0.9001 0.0130
Pd10 Pd 0.4372 0.0999 0.9870
Pd11 Pd 0.9372 0.4001 0.4870
Pd12 Pd 0.0628 0.5999 0.5130
# VASP energy = -89.0 eV per cell
# magnetic moment = 0.00 μB/f.u.

=====

Entry 2:
# BaCaMg2Sn2, relaxed, DFT GGA-PBE
data_BaCaMg2Sn2
_chemical_formula_sum 'Ba1 Ca1 Mg2 Sn2'
_symmetry_space_group_name_H-M 'P 1'
_symmetry_Int_Tables_number 1
_cell_length_a 5.0247
_cell_length_b 5.0247
_cell_length_c 8.3513
_cell_angle_alpha 90.00
_cell_angle_beta 90.00
_cell_angle_gamma 120.00
loop_
_symmetry_equiv_pos_as_xyz
'x,y,z'
loop_
_atom_site_label
_atom_site_type_symbol
_atom_site_fract_x
_atom_site_fract_y
_atom_site_fract_z
Ba1 Ba 0.0000 0.0000 0.0000
Ca1 Ca 0.0000 0.0000 0.5000
Mg1 Mg 0.3333 0.6667 0.6764
Mg2 Mg 0.6667 0.3333 0.3236
Sn1 Sn 0.3333 0.6667 0.2779
Sn2 Sn 0.6667 0.3333 0.7221
# VASP energy = -18.4 eV per cell
# E_form = -544 meV/atom
# magnetic moment = 0.00 μB/f.u.

=====

Entry 3:
# Na2CuHF6, relaxed, DFT GGA-PBE
data_Na2CuHF6
_chemical_formula_sum 'Na4 Cu2 H2 F12'
_symmetry_space_group_name_H-M 'P 1'
_symmetry_Int_Tables_number 1
_cell_length_a 5.9800
_cell_length_b 4.7493
_cell_length_c 9.1196
_cell_angle_alpha 90.00
_cell_angle_beta 90.05
_cell_angle_gamma 90.00
loop_
_symmetry_equiv_pos_as_xyz
'x,y,z'
loop_
_atom_site_label
_atom_site_type_symbol
_atom_site_fract_x
_atom_site_fract_y
_atom_site_fract_z
Na1 Na 0.0000 0.0001 0.1894
Na2 Na 0.5000 0.5001 0.3106
Na3 Na 0.5000 0.4999 0.6894
Na4 Na 0.0000 0.9999 0.8106
Cu1 Cu 0.0000 0.5000 0.5000
Cu2 Cu 0.5000 0.0000 0.0000
H1 H 0.0000 0.5000 0.0000
H2 H 0.5000 0.0000 0.5000
F1 F 0.8561 0.3109 0.6407
F2 F 0.8949 0.2958 0.0000
F3 F 0.8553 0.3090 0.3601
F4 F 0.6447 0.8090 0.1399
F5 F 0.6050 0.7958 0.5000
F6 F 0.6440 0.8109 0.8592
F7 F 0.3560 0.1891 0.1408
F8 F 0.3950 0.2042 0.5000
F9 F 0.3553 0.1910 0.8601
F10 F 0.1051 0.7042 0.0000
F11 F 0.1447 0.6910 0.6399
F12 F 0.1439 0.6891 0.3593
# VASP energy = -83.1 eV per cell
# magnetic moment = 0.20 μB/f.u.

=====

Entry 4:
# KAsC2S, relaxed, DFT GGA-PBE
data_KAsC2S
_chemical_formula_sum 'K1 As1 C2 S1'
_symmetry_space_group_name_H-M 'P 1'
_symmetry_Int_Tables_number 1
_cell_length_a 4.1067
_cell_length_b 4.9123
_cell_length_c 4.1067
_cell_angle_alpha 90.00
_cell_angle_beta 90.00
_cell_angle_gamma 90.00
loop_
_symmetry_equiv_pos_as_xyz
'x,y,z'
loop_
_atom_site_label
_atom_site_type_symbol
_atom_site_fract_x
_atom_site_fract_y
_atom_site_fract_z
S1 S 0.0000 0.0000 0.0000
C1 C 0.0000 0.0000 0.5000
C2 C 0.5000 0.0000 0.0000
As1 As 0.0000 0.5000 0.0000
K1 K 0.5000 0.5000 0.5000
# ΔE_f (raw) = 2.110 eV per atom
# VASP energy = -17.8 eV per cell
# magnetic moment = 0.00 μB/f.u.